# 1
A relaxed Pu3AlTl3Se8 crystal, computed with PBE.

Geometry as CIF:
```
data_Pu3AlTl3Se8
_space_group_name_H-M_alt 'R -3 m'
_space_group_IT_number 166
_space_group_name_Hall '-R 3 2"'
_cell_length_a 8.2482
_cell_length_b 8.2482
_cell_length_c 23.3803
_cell_angle_alpha 90.00
_cell_angle_beta 90.00
_cell_angle_gamma 120.00
loop_
_atom_site_label
_atom_site_fract_x
_atom_site_fract_y
_atom_site_fract_z
_atom_site_occupancy
Pu1 0.0000 0.5000 0.0000 1
Al1 0.0000 0.0000 0.0000 1
Tl1 0.0000 0.5000 0.5000 1
Se1 0.0000 0.0000 0.2654 1
Se2 0.0259 0.5129 0.7297 1
```

The calculation puts the total energy at -6.45 eV/atom. Its crystal system is trigonal. The uncorrected formation energy comes out at -998 meV per atom.

# 2
A relaxed ErLu2O crystal, computed with PBE.

Geometry as CIF:
```
data_ErLu2O
_space_group_name_H-M_alt 'R -3 m'
_space_group_IT_number 166
_space_group_name_Hall '-R 3 2"'
_cell_length_a 3.3725
_cell_length_b 3.3725
_cell_length_c 27.2897
_cell_angle_alpha 90.00
_cell_angle_beta 90.00
_cell_angle_gamma 120.00
loop_
_atom_site_label
_atom_site_fract_x
_atom_site_fract_y
_atom_site_fract_z
_atom_site_occupancy
Er1 0.0000 0.0000 0.0000 1
Lu1 0.0000 0.0000 0.1190 1
O1 0.0000 0.0000 0.5000 1
```

The calculation puts the total energy at -5.82 eV/atom. Its crystal system is trigonal. The uncorrected formation energy comes out at -1179 meV per atom.

# 3
A relaxed SrCuGe2Rh crystal, computed with PBE.

Geometry as CIF:
```
data_SrCuGe2Rh
_space_group_name_H-M_alt 'I -4 m 2'
_space_group_IT_number 119
_space_group_name_Hall 'I -4 -2'
_cell_length_a 4.2902
_cell_length_b 4.2902
_cell_length_c 10.5448
_cell_angle_alpha 90.00
_cell_angle_beta 90.00
_cell_angle_gamma 90.00
loop_
_atom_site_label
_atom_site_fract_x
_atom_site_fract_y
_atom_site_fract_z
_atom_site_occupancy
Sr1 0.0000 0.0000 0.0000 1
Cu1 0.0000 0.5000 0.7500 1
Ge1 0.0000 0.0000 0.3692 1
Rh1 0.0000 0.5000 0.2500 1
```

The calculation puts the total energy at -4.99 eV/atom. Its crystal system is tetragonal. The formation energy is -0.513 eV/atom.

# 4
A relaxed LiTbTl crystal, computed with PBE.

Geometry as CIF:
```
data_LiTbTl
_space_group_name_H-M_alt 'P -6 m 2'
_space_group_IT_number 187
_space_group_name_Hall 'P -6 2'
_cell_length_a 4.9288
_cell_length_b 4.9288
_cell_length_c 3.4611
_cell_angle_alpha 90.00
_cell_angle_beta 90.00
_cell_angle_gamma 120.00
loop_
_atom_site_label
_atom_site_fract_x
_atom_site_fract_y
_atom_site_fract_z
_atom_site_occupancy
Li1 0.0000 0.0000 0.0000 1
Tb1 0.6667 0.3333 0.5000 1
Tl1 0.3333 0.6667 0.0000 1
```

The calculation puts the total energy at -3.24 eV/atom. Its crystal system is hexagonal. The formation energy is -0.272 eV/atom.

# 5
A relaxed TmZrS4 crystal, computed with PBE.

Geometry as CIF:
```
data_TmZrS4
_space_group_name_H-M_alt 'C m m m'
_space_group_IT_number 65
_space_group_name_Hall '-C 2 2'
_cell_length_a 8.7569
_cell_length_b 8.8525
_cell_length_c 3.8627
_cell_angle_alpha 90.00
_cell_angle_beta 90.00
_cell_angle_gamma 90.00
loop_
_atom_site_label
_atom_site_fract_x
_atom_site_fract_y
_atom_site_fract_z
_atom_site_occupancy
Tm1 0.0000 0.0000 0.0000 1
Zr1 0.0000 0.5000 0.5000 1
S1 0.0000 0.3066 0.0000 1
S2 0.2088 0.0000 0.5000 1
```

The calculation puts the total energy at -6.30 eV/atom. Its crystal system is orthorhombic. The uncorrected formation energy comes out at -1382 meV per atom.

# 6
A relaxed AcThTe2Se crystal, computed with PBE.

Geometry as CIF:
```
data_AcThTe2Se
_space_group_name_H-M_alt 'P 4/n m m'
_space_group_IT_number 129
_cell_length_a 4.5065
_cell_length_b 4.5065
_cell_length_c 16.0385
_cell_angle_alpha 90.00
_cell_angle_beta 90.00
_cell_angle_gamma 90.00
loop_
_space_group_symop_operation_xyz
'x,y,z'
'-x,-y,-z'
'-y+1/2,x,z'
'y+1/2,-x,-z'
'-x+1/2,-y+1/2,z'
'x+1/2,y+1/2,-z'
'y,-x+1/2,z'
'-y,x+1/2,-z'
'x+1/2,-y,-z'
'-x+1/2,y,z'
'-y,-x,-z'
'y,x,z'
'-x,y+1/2,-z'
'x,-y+1/2,z'
'y+1/2,x+1/2,-z'
'-y+1/2,-x+1/2,z'
loop_
_atom_site_label
_atom_site_fract_x
_atom_site_fract_y
_atom_site_fract_z
_atom_site_occupancy
Ac1 0.2500 0.2500 0.1343 1
Th1 0.2500 0.2500 0.5855 1
Te1 0.2500 0.2500 0.3827 1
Te2 0.2500 0.2500 0.7840 1
Se1 0.2500 0.7500 0.0000 1
```

The calculation puts the total energy at -5.64 eV/atom. Its crystal system is tetragonal. The uncorrected formation energy comes out at -1384 meV per atom.

# 7
A relaxed HfTaAg2 crystal, computed with PBE.

Geometry as CIF:
```
data_HfTaAg2
_space_group_name_H-M_alt 'I -4 2 d'
_space_group_IT_number 122
_space_group_name_Hall 'I -4 2bw'
_cell_length_a 7.6574
_cell_length_b 7.6574
_cell_length_c 5.4766
_cell_angle_alpha 90.00
_cell_angle_beta 90.00
_cell_angle_gamma 90.00
loop_
_atom_site_label
_atom_site_fract_x
_atom_site_fract_y
_atom_site_fract_z
_atom_site_occupancy
Hf1 0.0000 0.0000 0.0000 1
Ta1 0.0000 0.0000 0.5000 1
Ag1 0.2410 0.2500 0.6250 1
```

The calculation puts the total energy at -6.20 eV/atom. Its crystal system is tetragonal. The formation energy is 0.676 eV/atom.

# 8
A relaxed Mn2SbH crystal, computed with PBE.

Geometry as CIF:
```
data_Mn2SbH
_space_group_name_H-M_alt 'I -4 2 d'
_space_group_IT_number 122
_space_group_name_Hall 'I -4 2bw'
_cell_length_a 4.4773
_cell_length_b 4.4773
_cell_length_c 9.9612
_cell_angle_alpha 90.00
_cell_angle_beta 90.00
_cell_angle_gamma 90.00
loop_
_atom_site_label
_atom_site_fract_x
_atom_site_fract_y
_atom_site_fract_z
_atom_site_occupancy
Mn1 0.0359 0.2500 0.1250 1
Sb1 0.0000 0.0000 0.5000 1
H1 0.0000 0.0000 0.0000 1
```

The calculation puts the total energy at -6.11 eV/atom. Its crystal system is tetragonal.

# 9
A relaxed K4BaAg3F12 crystal, computed with PBE.

Geometry as CIF:
```
data_K4BaAg3F12
_space_group_name_H-M_alt 'I m -3'
_space_group_IT_number 204
_space_group_name_Hall '-I 2 2 3'
_cell_length_a 9.1389
_cell_length_b 9.1389
_cell_length_c 9.1389
_cell_angle_alpha 90.00
_cell_angle_beta 90.00
_cell_angle_gamma 90.00
loop_
_atom_site_label
_atom_site_fract_x
_atom_site_fract_y
_atom_site_fract_z
_atom_site_occupancy
K1 0.2500 0.2500 0.2500 1
Ba1 0.0000 0.0000 0.0000 1
Ag1 0.0000 0.0000 0.5000 1
F1 0.0000 0.3158 0.1435 1
```

The calculation puts the total energy at -4.01 eV/atom. Its crystal system is cubic. The uncorrected formation energy comes out at -2143 meV per atom.

# 10
A relaxed Dy2HoTmTe5 crystal, computed with PBE.

Geometry as CIF:
```
data_Dy2HoTmTe5
_space_group_name_H-M_alt 'P 4/m m m'
_space_group_IT_number 123
_space_group_name_Hall '-P 4 2'
_cell_length_a 5.4928
_cell_length_b 5.4928
_cell_length_c 11.4600
_cell_angle_alpha 90.00
_cell_angle_beta 90.00
_cell_angle_gamma 90.00
loop_
_atom_site_label
_atom_site_fract_x
_atom_site_fract_y
_atom_site_fract_z
_atom_site_occupancy
Dy1 0.0000 0.0000 0.1525 1
Ho1 0.5000 0.5000 0.5000 1
Tm1 0.5000 0.5000 0.0000 1
Te1 0.0000 0.0000 0.5000 1
Te2 0.0000 0.5000 0.0000 1
Te3 0.5000 0.5000 0.2534 1
```

The calculation puts the total energy at -4.43 eV/atom. Its crystal system is tetragonal. The uncorrected formation energy comes out at -657 meV per atom.

# 11
A relaxed Ho2Th2Sc5 crystal, computed with PBE.

Geometry as CIF:
```
data_Ho2Th2Sc5
_space_group_name_H-M_alt 'P -1'
_space_group_IT_number 2
_cell_length_a 3.4587
_cell_length_b 8.3659
_cell_length_c 8.8686
_cell_angle_alpha 78.95
_cell_angle_beta 89.99
_cell_angle_gamma 89.47
loop_
_space_group_symop_operation_xyz
'x,y,z'
'-x,-y,-z'
loop_
_atom_site_label
_atom_site_fract_x
_atom_site_fract_y
_atom_site_fract_z
_atom_site_occupancy
Ho1 0.2291 0.1450 0.1244 1
Th1 0.2418 0.6387 0.5912 1
Sc1 0.2285 0.2077 0.7284 1
Sc2 0.2575 0.5565 0.1204 1
Sc3 0.5000 0.0000 0.5000 1
```

The calculation puts the total energy at -6.08 eV/atom. Its crystal system is triclinic. The formation energy is 0.099 eV/atom.

# 12
A relaxed Mg2GeBi crystal, computed with PBE.

Geometry as CIF:
```
data_Mg2GeBi
_space_group_name_H-M_alt 'R -3 m'
_space_group_IT_number 166
_space_group_name_Hall '-R 3 2"'
_cell_length_a 3.5950
_cell_length_b 3.5950
_cell_length_c 25.8797
_cell_angle_alpha 90.00
_cell_angle_beta 90.00
_cell_angle_gamma 120.00
loop_
_atom_site_label
_atom_site_fract_x
_atom_site_fract_y
_atom_site_fract_z
_atom_site_occupancy
Mg1 0.0000 0.0000 0.2399 1
Ge1 0.0000 0.0000 0.5000 1
Bi1 0.0000 0.0000 0.0000 1
```

The calculation puts the total energy at -2.99 eV/atom. Its crystal system is trigonal. The formation energy is -0.067 eV/atom.